# LaPmGdHo

A relaxed LaPmGdHo crystal (PBE-GGA, Alexandria).

Cell lengths 8.1769, 8.1769, 8.1769 Å; angles 90.00, 90.00, 90.00 degrees
Closest atoms and distances in Å follow each position.
Fractional coordinates of all 16 atoms:
La (0.0000, 0.0000, 0.0000)  4 Ho 3.54, 4 Pm 3.54
La (0.0000, 0.5000, 0.5000)  4 Ho 3.54, 4 Pm 3.54
La (0.5000, 0.0000, 0.5000)  4 Ho 3.54, 4 Pm 3.54
La (0.5000, 0.5000, 0.0000)  4 Ho 3.54, 4 Pm 3.54
Pm (0.2500, 0.2500, 0.7500)  4 Gd 3.54, 4 La 3.54
Pm (0.2500, 0.7500, 0.2500)  4 Gd 3.54, 4 La 3.54
Pm (0.7500, 0.2500, 0.2500)  4 Gd 3.54, 4 La 3.54
Pm (0.7500, 0.7500, 0.7500)  4 Gd 3.54, 4 La 3.54
Gd (0.0000, 0.0000, 0.5000)  4 Pm 3.54, 4 Ho 3.54
Gd (0.0000, 0.5000, 0.0000)  4 Pm 3.54, 4 Ho 3.54
Gd (0.5000, 0.0000, 0.0000)  4 Pm 3.54, 4 Ho 3.54
Gd (0.5000, 0.5000, 0.5000)  4 Pm 3.54, 4 Ho 3.54
Ho (0.2500, 0.2500, 0.2500)  4 Gd 3.54, 4 La 3.54
Ho (0.2500, 0.7500, 0.7500)  4 Gd 3.54, 4 La 3.54
Ho (0.7500, 0.2500, 0.7500)  4 Gd 3.54, 4 La 3.54
Ho (0.7500, 0.7500, 0.2500)  4 Gd 3.54, 4 La 3.54

Uncorrected energy in eV per atom: -6.965
Energy of formation from the pure elements in eV per formula unit: 0.48

---

# LaGdHoSc

A relaxed LaGdHoSc crystal (PBE-GGA, Alexandria).

Cell lengths 7.9442, 7.9442, 7.9442 Å; angles 90.00, 90.00, 90.00 degrees
Closest atoms and distances in Å follow each position.
Fractional coordinates of all 16 atoms:
La (0.0000, 0.0000, 0.0000)  4 Sc 3.44, 4 Ho 3.44
La (0.0000, 0.5000, 0.5000)  4 Sc 3.44, 4 Ho 3.44
La (0.5000, 0.0000, 0.5000)  4 Sc 3.44, 4 Ho 3.44
La (0.5000, 0.5000, 0.0000)  4 Sc 3.44, 4 Ho 3.44
Gd (0.0000, 0.0000, 0.5000)  4 Ho 3.44, 4 Sc 3.44
Gd (0.0000, 0.5000, 0.0000)  4 Ho 3.44, 4 Sc 3.44
Gd (0.5000, 0.0000, 0.0000)  4 Ho 3.44, 4 Sc 3.44
Gd (0.5000, 0.5000, 0.5000)  4 Ho 3.44, 4 Sc 3.44
Ho (0.2500, 0.2500, 0.7500)  4 Gd 3.44, 4 La 3.44
Ho (0.2500, 0.7500, 0.2500)  4 Gd 3.44, 4 La 3.44
Ho (0.7500, 0.2500, 0.2500)  4 Gd 3.44, 4 La 3.44
Ho (0.7500, 0.7500, 0.7500)  4 Gd 3.44, 4 La 3.44
Sc (0.2500, 0.2500, 0.2500)  4 Gd 3.44, 4 La 3.44
Sc (0.2500, 0.7500, 0.7500)  4 Gd 3.44, 4 La 3.44
Sc (0.7500, 0.2500, 0.7500)  4 Gd 3.44, 4 La 3.44
Sc (0.7500, 0.7500, 0.2500)  4 Gd 3.44, 4 La 3.44

Uncorrected energy in eV per atom: -7.388
Energy of formation from the pure elements in eV per formula unit: 0.36

---

# LaSmGdHo

A relaxed LaSmGdHo crystal (PBE-GGA, Alexandria).

Cell lengths 8.1577, 8.1577, 8.1577 Å; angles 90.00, 90.00, 90.00 degrees
Closest atoms and distances in Å follow each position.
Fractional coordinates of all 16 atoms:
La (0.0000, 0.0000, 0.0000)  4 Gd 3.53, 4 Ho 3.53
La (0.0000, 0.5000, 0.5000)  4 Gd 3.53, 4 Ho 3.53
La (0.5000, 0.0000, 0.5000)  4 Gd 3.53, 4 Ho 3.53
La (0.5000, 0.5000, 0.0000)  4 Gd 3.53, 4 Ho 3.53
Sm (0.0000, 0.0000, 0.5000)  4 Ho 3.53, 4 Gd 3.53
Sm (0.0000, 0.5000, 0.0000)  4 Ho 3.53, 4 Gd 3.53
Sm (0.5000, 0.0000, 0.0000)  4 Ho 3.53, 4 Gd 3.53
Sm (0.5000, 0.5000, 0.5000)  4 Ho 3.53, 4 Gd 3.53
Gd (0.2500, 0.2500, 0.2500)  4 La 3.53, 4 Sm 3.53
Gd (0.2500, 0.7500, 0.7500)  4 La 3.53, 4 Sm 3.53
Gd (0.7500, 0.2500, 0.7500)  4 La 3.53, 4 Sm 3.53
Gd (0.7500, 0.7500, 0.2500)  4 La 3.53, 4 Sm 3.53
Ho (0.2500, 0.2500, 0.7500)  4 La 3.53, 4 Sm 3.53
Ho (0.2500, 0.7500, 0.2500)  4 La 3.53, 4 Sm 3.53
Ho (0.7500, 0.2500, 0.2500)  4 La 3.53, 4 Sm 3.53
Ho (0.7500, 0.7500, 0.7500)  4 Sm 3.53, 4 La 3.53

Uncorrected energy in eV per atom: -6.969
Energy of formation from the pure elements in eV per formula unit: 0.43